Here is crystalline DyEr2Sc5 at its relaxed geometry from Alexandria. Energies are from PBE.

Properties
Energy above the lowest structure with this stoichiometry, meV per atom: 0

The structure in CIF format:
```
data_DyEr2Sc5
_cell_length_a 6.8314
_cell_length_b 10.6447
_cell_length_c 11.8416
_cell_angle_alpha 90.00
_cell_angle_beta 90.00
_cell_angle_gamma 90.00
_symmetry_space_group_name_H-M 'F m m 2'
_symmetry_Int_Tables_number 42
_symmetry_space_group_name_Hall 'F 2 -2'
loop_
_atom_site_label
_atom_site_type_symbol
_atom_site_fract_x
_atom_site_fract_y
_atom_site_fract_z
Dy1 Dy 0.0000 0.0000 0.0000
Er1 Er 0.0000 0.2452 0.6695
Sc1 Sc 0.0000 0.0000 0.4986
Sc2 Sc 0.2479 0.0000 0.2539
Sc3 Sc 0.2500 0.2500 0.4164
```